No. 1
{"formula": "Rb3H12N5", "functional": "PBE", "state": "optimized geometry", "lattice_angstrom": [[8.766, 0.000, 0.000], [-2.922, 8.265, 0.000], [-2.922, -4.133, 7.158]], "species": ["Rb", "Rb", "Rb", "Rb", "Rb", "Rb", "H", "H", "H", "H", "H", "H", "H", "H", "H", "H", "H", "H", "H", "H", "H", "H", "H", "H", "H", "H", "H", "H", "H", "H", "N", "N", "N", "N", "N", "N", "N", "N", "N", "N"], "fractional_positions": [[0.750, 0.830, 0.080], [0.670, 0.420, 0.250], [0.420, 0.250, 0.670], [0.250, 0.670, 0.420], [0.080, 0.750, 0.830], [0.830, 0.080, 0.750], [0.470, 0.638, 0.209], [0.261, 0.291, 0.930], [0.331, 0.570, 0.862], [0.930, 0.261, 0.291], [0.862, 0.331, 0.570], [0.209, 0.470, 0.638], [0.570, 0.862, 0.331], [0.638, 0.209, 0.470], [0.291, 0.930, 0.261], [0.030, 0.239, 0.169], [0.239, 0.169, 0.030], [0.169, 0.030, 0.239], [0.821, 0.443, 0.865], [0.956, 0.635, 0.078], [0.878, 0.422, 0.057], [0.078, 0.956, 0.635], [0.057, 0.878, 0.422], [0.865, 0.821, 0.443], [0.422, 0.057, 0.878], [0.443, 0.865, 0.821], [0.635, 0.078, 0.956], [0.679, 0.544, 0.622], [0.544, 0.622, 0.679], [0.622, 0.679, 0.544], [0.584, 0.750, 0.334], [0.250, 0.166, 0.916], [0.334, 0.584, 0.750], [0.916, 0.250, 0.166], [0.750, 0.334, 0.584], [0.166, 0.916, 0.250], [0.842, 0.500, 0.000], [0.000, 0.842, 0.500], [0.500, 0.000, 0.842], [0.658, 0.658, 0.658]], "spacegroup": "I2_13 (199)", "e_tot_ev_per_atom": -4.6060}



No. 2
{"formula": "Pm5Ho4Er", "functional": "PBE", "state": "optimized geometry", "lattice_angstrom": [[-0.988, 2.683, -2.112], [-8.045, 3.008, 7.591], [3.852, 4.225, 6.558]], "species": ["Pm", "Pm", "Pm", "Pm", "Pm", "Ho", "Ho", "Ho", "Ho", "Er"], "fractional_positions": [[0.211, 0.384, 0.421], [0.188, 0.924, 0.376], [0.812, 0.076, 0.624], [0.500, 0.500, 0.000], [0.789, 0.616, 0.579], [0.604, 0.203, 0.209], [0.917, 0.290, 0.834], [0.396, 0.797, 0.791], [0.083, 0.710, 0.166], [0.500, 0.000, 0.000]], "e_form_ev_per_fu": 0.36, "spacegroup": "C2/m (12)"}



No. 3
{"formula": "ScCd6", "functional": "PBE", "state": "optimized geometry", "lattice_angstrom": [[6.713, 0.000, 0.000], [-2.238, 6.329, 0.000], [-2.238, -3.164, 5.481]], "species": ["Sc", "Cd", "Cd", "Cd", "Cd", "Cd", "Cd"], "fractional_positions": [[0.000, 0.000, 0.000], [0.250, 0.750, 0.500], [0.500, 0.750, 0.250], [0.250, 0.500, 0.750], [0.750, 0.250, 0.500], [0.500, 0.250, 0.750], [0.750, 0.500, 0.250]], "e_form_ev_per_fu": 4.18, "spacegroup": "Im-3m (229)"}



No. 4
{"formula": "Ca2Mg2H", "functional": "PBE", "state": "optimized geometry", "lattice_angstrom": [[6.730, 0.000, 0.000], [0.000, 6.730, 0.000], [0.000, 0.000, 5.930]], "species": ["H", "H", "Ca", "Ca", "Ca", "Ca", "Mg", "Mg", "Mg", "Mg"], "fractional_positions": [[0.000, 0.000, 0.000], [0.500, 0.500, 0.000], [0.315, 0.815, 0.000], [0.815, 0.685, 0.000], [0.685, 0.185, 0.000], [0.185, 0.315, 0.000], [0.152, 0.652, 0.500], [0.652, 0.848, 0.500], [0.848, 0.348, 0.500], [0.348, 0.152, 0.500]], "spacegroup": "P4/mbm (127)", "e_tot_ev_per_atom": -2.0740}



No. 5
{"formula": "K2CaHf", "functional": "PBE", "state": "optimized geometry", "lattice_angstrom": [[-9.057, -3.828, 2.865], [4.729, -8.076, 4.158], [-1.926, -4.268, 6.513]], "species": ["Ca", "Ca", "Hf", "Hf", "K", "K", "K", "K"], "fractional_positions": [[0.500, 0.500, 0.000], [0.250, 0.750, 0.500], [0.000, 0.000, 0.000], [0.750, 0.250, 0.500], [0.635, 0.125, 0.250], [0.115, 0.625, 0.250], [0.375, 0.365, 0.750], [0.875, 0.885, 0.750]], "e_form_ev_per_fu": 4.81, "spacegroup": "I-42d (122)"}



No. 6
{"formula": "FeAsSe2N", "functional": "PBE", "state": "optimized geometry", "lattice_angstrom": [[4.900, 0.000, 0.000], [0.000, 4.900, 0.000], [0.000, 0.000, 3.422]], "species": ["As", "Fe", "Se", "Se", "N"], "fractional_positions": [[0.500, 0.500, 0.500], [0.000, 0.000, 0.000], [0.000, 0.500, 0.000], [0.500, 0.000, 0.000], [0.000, 0.000, 0.500]], "raw_formation_energy_mev_per_atom": 364, "spacegroup": "P4/mmm (123)"}



No. 7
{"formula": "AgTe2Cl", "functional": "PBE", "state": "optimized geometry", "lattice_angstrom": [[1.919, 0.000, 10.535], [-0.959, 1.662, 10.535], [-0.959, -1.662, 10.535]], "species": ["Te", "Te", "Ag", "Cl"], "fractional_positions": [[0.913, 0.913, 0.913], [0.087, 0.087, 0.087], [0.000, 0.000, 0.000], [0.500, 0.500, 0.500]], "raw_formation_energy_mev_per_atom": 196, "spacegroup": "R-3m (166)"}



No. 8
{"formula": "Na2PrHg6", "functional": "PBE", "state": "optimized geometry", "lattice_angstrom": [[-0.569, 2.407, -2.335], [8.198, -1.142, -3.175], [-6.723, -4.763, -3.271]], "species": ["Na", "Na", "Pr", "Hg", "Hg", "Hg", "Hg", "Hg", "Hg"], "fractional_positions": [[0.000, 0.333, 0.667], [0.000, 0.667, 0.333], [0.000, 0.000, 0.000], [0.500, 0.337, 0.337], [0.500, 0.663, 0.663], [0.500, 0.000, 0.663], [0.500, 0.663, 0.000], [0.500, 0.337, 0.000], [0.500, 0.000, 0.337]], "e_form_ev_per_fu": -2.47, "spacegroup": "P6/mmm (191)"}